# 1
SrGdHgPb | GGA-PBE | optimized geometry

## Properties
DFT formation energy, eV per formula unit: -1.94
M_tot, Bohr magnetons per cell: 7.26
V, Å³/cell: 123
DOS(E_F), states/eV/f.u.: 6.0
Energy, eV/atom: -5.43

Unit cell a=5.5748 b=5.5748 c=5.5748 alpha=60.00 beta=60.00 gamma=60.00
Last column: nearest neighbours and their distance in Å.
Positions (direct):
Pb  0.0000  0.0000  0.0000  4 Sr 3.41, 4 Gd 3.41
Sr  0.2500  0.2500  0.2500  4 Hg 3.41, 4 Pb 3.41
Gd  0.7500  0.7500  0.7500  4 Hg 3.41, 4 Pb 3.41
Hg  0.5000  0.5000  0.5000  4 Gd 3.41, 4 Sr 3.41

---

# 2
Ce2B2S7 | GGA-PBE | optimized geometry

## Properties
E_form (uncorrected), eV per atom: -0.8990
M_tot, Bohr magnetons per cell: 0.00
V, Å³/cell: 232
Energy, eV/atom: -5.82

Unit cell a=5.5318 b=6.5522 c=6.5522 alpha=97.41 beta=96.18 gamma=96.18
Last column: nearest neighbours and their distance in Å.
Positions (direct):
Ce  0.0000  0.2767  0.7233  6 S 2.72-2.77
Ce  0.0000  0.7233  0.2767  6 S 2.72-2.77
B  0.4353  0.2306  0.2306  4 S 1.89-2.08
B  0.5647  0.7694  0.7694  4 S 1.89-2.08
S  0.7410  0.8997  0.5792  1 B 1.89
S  0.2590  0.4208  0.1003  1 B 1.89
S  0.2590  0.1003  0.4208  1 B 1.89
S  0.7410  0.5792  0.8997  1 B 1.89
S  0.5000  0.0000  0.0000  2 B 2.08
S  0.2639  0.6273  0.6273  1 B 1.90
S  0.7361  0.3727  0.3727  1 B 1.90

---

# 3
CaAuBr2 | GGA-PBE | optimized geometry

## Properties
E_form (uncorrected), eV per atom: -0.9362
M_tot, Bohr magnetons per cell: 0.00
V, Å³/cell: 136
DOS(E_F), states/eV/f.u.: 0.9
Energy, eV/atom: -3.09

Unit cell a=10.0440 b=10.0440 c=10.0440 alpha=23.03 beta=23.03 gamma=23.03
Last column: nearest neighbours and their distance in Å.
Positions (direct):
Ca  0.5000  0.5000  0.5000  6 Br 2.87
Au  0.0000  0.0000  0.0000  2 Br 3.19
Br  0.8913  0.8913  0.8913  3 Ca 2.87, 1 Au 3.19
Br  0.1087  0.1087  0.1087  3 Ca 2.87, 1 Au 3.19

---

# 4
Pm2PrNdAs4 | GGA-PBE | optimized geometry

## Properties
DFT formation energy, eV per formula unit: -12.13
M_tot, Bohr magnetons per cell: 0.00
V, Å³/cell: 219
DOS(E_F), states/eV/f.u.: 0.7
Energy, eV/atom: -6.22

Unit cell a=4.2672 b=7.3845 c=7.3848 alpha=70.54 beta=90.00 gamma=90.00
Last column: nearest neighbours and their distance in Å.
Positions (direct):
Pm  0.0000  0.0000  0.0000  6 As 3.00
Pm  0.5000  0.0000  0.5000  6 As 3.01
Pr  0.0000  0.5000  0.5000  6 As 3.03
Nd  0.5000  0.5000  0.0000  6 As 3.02
As  0.0000  0.7527  0.7500  3 Pm 3.00-3.01, 2 Nd 3.02, 1 Pr 3.03
As  0.0000  0.2473  0.2500  3 Pm 3.00-3.01, 2 Nd 3.02, 1 Pr 3.03
As  0.5000  0.7535  0.2479  3 Pm 3.00-3.01, 1 Nd 3.02, 2 Pr 3.03
As  0.5000  0.2465  0.7521  3 Pm 3.00-3.01, 1 Nd 3.02, 2 Pr 3.03

---

# 5
PrAlGaPd | GGA-PBE | optimized geometry

## Properties
DFT formation energy, eV per formula unit: -2.86
M_tot, Bohr magnetons per cell: 0.00
V, Å³/cell: 85
DOS(E_F), states/eV/f.u.: 1.6
Energy, eV/atom: -4.90

Unit cell a=4.2853 b=4.2853 c=5.8958 alpha=68.69 beta=68.69 gamma=60.00
Last column: nearest neighbours and their distance in Å.
Positions (direct):
Pr  0.8055  0.8055  0.5835  4 Ga 3.12-3.44, 4 Al 3.20-3.33
Al  0.5983  0.5983  0.2052  3 Pd 2.55
Ga  0.0199  0.0199  0.9402  3 Pd 2.61, 3 Al 2.85
Pd  0.3022  0.3022  0.0935  3 Al 2.55, 3 Ga 2.61

---

# 6
LaZnIn2 | GGA-PBE | optimized geometry

## Properties
DFT formation energy, eV per formula unit: -1.02
M_tot, Bohr magnetons per cell: 0.00
V, Å³/cell: 105
DOS(E_F), states/eV/f.u.: 2.9
Energy, eV/atom: -3.17

Unit cell a=4.9296 b=3.4083 c=6.2391 alpha=89.94 beta=90.00 gamma=90.00
Last column: nearest neighbours and their distance in Å.
Positions (direct):
In  0.0000  0.9992  0.9874  2 Zn 2.89, 2 In 3.00
In  0.5000  0.0007  0.2608  2 In 3.00, 2 Zn 3.02-3.22
La  0.0000  0.5000  0.5076  4 Zn 3.34, 8 In 3.37-3.67, 2 La 3.41
Zn  0.5000  0.0001  0.7442  4 In 2.89-3.22

---

# 7
SrReSnHg2 | GGA-PBE | optimized geometry

## Properties
DFT formation energy, eV per formula unit: 8.41
M_tot, Bohr magnetons per cell: 4.07
V, Å³/cell: 218
DOS(E_F), states/eV/f.u.: 3.7
Energy, eV/atom: -2.07

Unit cell a=5.8795 b=6.3079 c=5.8795 alpha=90.00 beta=90.00 gamma=90.00
Last column: nearest neighbours and their distance in Å.
Positions (direct):
Re  0.5000  0.5000  0.5000  4 Sn 4.16, 8 Hg 4.31
Hg  0.0000  0.0000  0.5000  2 Sr 2.94
Hg  0.5000  0.0000  0.0000  2 Sr 2.94
Sr  0.0000  0.0000  0.0000  4 Hg 2.94, 2 Sn 3.15
Sn  0.0000  0.5000  0.0000  2 Sr 3.15

---

# 8
LiZn2Sb | GGA-PBE | optimized geometry

## Properties
E_form (uncorrected), eV per atom: 0.0314
M_tot, Bohr magnetons per cell: 0.00
V, Å³/cell: 78
DOS(E_F), states/eV/f.u.: 1.4
Energy, eV/atom: -2.11

Unit cell a=3.0908 b=3.0908 c=8.2617 alpha=90.00 beta=90.00 gamma=97.12
Last column: nearest neighbours and their distance in Å.
Positions (direct):
Li  0.5000  0.5000  0.2500  8 Zn 2.74-2.94
Sb  0.5000  0.5000  0.7500  8 Zn 3.09-3.27, 4 Sb 3.09
Zn  0.0000  0.0000  0.0300  4 Li 2.74-2.94
Zn  0.0000  0.0000  0.4700  4 Li 2.74-2.94

---

# 9
AlReMo2 | GGA-PBE | optimized geometry

## Properties
DFT formation energy, eV per formula unit: -0.11
M_tot, Bohr magnetons per cell: 0.00
V, Å³/cell: 61
DOS(E_F), states/eV/f.u.: 2.3
Energy, eV/atom: -9.49

Unit cell a=2.7264 b=2.7264 c=8.7704 alpha=90.00 beta=90.00 gamma=109.61
Last column: nearest neighbours and their distance in Å.
Positions (direct):
Re  0.0000  0.0000  0.5027  2 Al 2.67, 2 Mo 2.70, 4 Re 2.73
Mo  0.0000  0.0000  0.9970  2 Al 2.69, 6 Mo 2.73
Mo  0.5000  0.5000  0.2520  2 Re 2.70, 6 Mo 2.73
Al  0.5000  0.5000  0.7482  2 Re 2.67, 2 Mo 2.69, 4 Al 2.73

---

# 10
PrAl3Co | GGA-PBE | optimized geometry

## Properties
DFT formation energy, eV per formula unit: -2.05
M_tot, Bohr magnetons per cell: 0.00
V, Å³/cell: 95
DOS(E_F), states/eV/f.u.: 3.6
Energy, eV/atom: -5.03

Unit cell a=4.5662 b=4.5662 c=4.5662 alpha=90.00 beta=90.00 gamma=90.00
Last column: nearest neighbours and their distance in Å.
Positions (direct):
Pr  0.5000  0.5000  0.5000  12 Al 3.23
Co  0.0000  0.0000  0.0000  6 Al 2.28
Al  0.0000  0.5000  0.0000  2 Co 2.28
Al  0.0000  0.0000  0.5000  2 Co 2.28
Al  0.5000  0.0000  0.0000  2 Co 2.28

---

# 11
RbLi3Cu4Br12 | GGA-PBE | optimized geometry

## Properties
E_form (uncorrected), eV per atom: -0.7195
M_tot, Bohr magnetons per cell: 1.05
V, Å³/cell: 634
DOS(E_F), states/eV/f.u.: 9.6
Energy, eV/atom: -2.88

Unit cell a=8.8367 b=8.8367 c=8.8367 alpha=102.28 beta=102.28 gamma=102.28
Last column: nearest neighbours and their distance in Å.
Positions (direct):
Rb  0.0000  0.0000  0.0000  6 Br 3.44
Li  0.5617  0.4383  0.0000  6 Br 2.69-2.88
Li  0.4383  0.0000  0.5617  6 Br 2.69-2.88
Li  0.0000  0.5617  0.4383  6 Br 2.69-2.88
Cu  0.9223  0.0777  0.5000  3 Br 2.28-2.36
Cu  0.0777  0.5000  0.9223  3 Br 2.28-2.36
Cu  0.5000  0.9223  0.0777  3 Br 2.28-2.36
Cu  0.5000  0.5000  0.5000  3 Br 2.33
Br  0.5000  0.3306  0.6694  1 Cu 2.33
Br  0.9059  0.5000  0.0941  1 Cu 2.36
Br  0.0941  0.9059  0.5000  1 Cu 2.36
Br  0.5000  0.0941  0.9059  1 Cu 2.36
Br  0.3568  0.0028  0.2510  1 Cu 2.28
Br  0.2510  0.3568  0.0028  1 Cu 2.28
Br  0.0028  0.2510  0.3568  1 Cu 2.28
Br  0.6432  0.7490  0.9972  1 Cu 2.28
Br  0.9972  0.6432  0.7490  1 Cu 2.28
Br  0.7490  0.9972  0.6432  1 Cu 2.28
Br  0.6694  0.5000  0.3306  1 Cu 2.33
Br  0.3306  0.6694  0.5000  1 Cu 2.33

---

# 12
Sc2CuSeS3 | GGA-PBE | optimized geometry

## Properties
E_form (uncorrected), eV per atom: -1.3322
M_tot, Bohr magnetons per cell: 0.00
V, Å³/cell: 293
DOS(E_F), states/eV/f.u.: 4.1
Energy, eV/atom: -5.99

Unit cell a=7.4772 b=7.4772 c=7.4772 alpha=59.64 beta=59.64 gamma=59.64
Last column: nearest neighbours and their distance in Å.
Positions (direct):
Sc  0.0000  0.0000  0.0000  6 S 2.59
Sc  0.5000  0.0000  0.0000  4 S 2.58, 2 Se 2.68
Sc  0.0000  0.5000  0.0000  4 S 2.58, 2 Se 2.68
Sc  0.0000  0.0000  0.5000  4 S 2.58, 2 Se 2.68
Cu  0.3874  0.3874  0.3874  3 S 2.31, 1 Se 2.44
Cu  0.6126  0.6126  0.6126  3 S 2.31, 1 Se 2.44
Se  0.7457  0.7457  0.7457  1 Cu 2.44, 3 Sc 2.68
Se  0.2543  0.2543  0.2543  1 Cu 2.44, 3 Sc 2.68
S  0.2344  0.7542  0.7542  1 Cu 2.31, 2 Sc 2.58
S  0.7542  0.2344  0.7542  1 Cu 2.31, 2 Sc 2.58
S  0.7542  0.7542  0.2344  1 Cu 2.31, 2 Sc 2.58
S  0.7656  0.2458  0.2458  1 Cu 2.31, 2 Sc 2.58
S  0.2458  0.7656  0.2458  1 Cu 2.31, 2 Sc 2.58
S  0.2458  0.2458  0.7656  1 Cu 2.31, 2 Sc 2.58